# 1
A plane-wave DFT calculation with GGA-PBE was carried out for a relaxed structure of In2BTe.

Geometry as CIF:
```
data_In2BTe
_chemical_formula_sum 'In8 B4 Te4'
_cell_length_a 7.236
_cell_length_b 7.236
_cell_length_c 7.236
_cell_angle_alpha 90.00
_cell_angle_beta 90.00
_cell_angle_gamma 90.00
_space_group_name_H-M_alt 'F m -3 m'
_space_group_IT_number 225
_space_group_name_Hall '-F 4 2 3'
loop_
_atom_site_label
_atom_site_type_symbol
_atom_site_fract_x
_atom_site_fract_y
_atom_site_fract_z
In1 In 0.250 0.250 0.250
B1 B 0.000 0.000 0.000
Te1 Te 0.000 0.000 0.500
```

Offset from the most stable computed form (eV/atom): 0.657
ΔE_f (raw) (eV/atom): 0.961
Crystal system: cubic
Calculated total energy (eV per atom): -2.863
Mass density (Mg/m³): 6.451

***

# 2
A plane-wave DFT calculation with GGA-PBE was carried out for a relaxed structure of Ba2Tl2Cl.

Geometry as CIF:
```
data_Ba2Tl2Cl
_chemical_formula_sum 'Ba4 Tl4 Cl2'
_cell_length_a 8.643
_cell_length_b 8.643
_cell_length_c 5.605
_cell_angle_alpha 90.00
_cell_angle_beta 90.00
_cell_angle_gamma 90.00
_space_group_name_H-M_alt 'P 4/m b m'
_space_group_IT_number 127
_space_group_name_Hall '-P 4 2ab'
loop_
_atom_site_label
_atom_site_type_symbol
_atom_site_fract_x
_atom_site_fract_y
_atom_site_fract_z
Ba1 Ba 0.179 0.321 0.000
Tl1 Tl 0.123 0.623 0.500
Cl1 Cl 0.000 0.000 0.000
```

ΔE_f (raw) (eV/atom): -0.803
Crystal system: tetragonal
Calculated total energy (eV per atom): -2.888
Mass density (Mg/m³): 5.702

***

# 3
A plane-wave DFT calculation with GGA-PBE was carried out for a relaxed structure of TiZn3H.

Geometry as CIF:
```
data_TiZn3H
_chemical_formula_sum 'Ti1 Zn3 H1'
_cell_length_a 5.222
_cell_length_b 5.222
_cell_length_c 5.222
_cell_angle_alpha 90.00
_cell_angle_beta 90.00
_cell_angle_gamma 90.00
_space_group_name_H-M_alt 'P m -3 m'
_space_group_IT_number 221
_space_group_name_Hall '-P 4 2 3'
loop_
_atom_site_label
_atom_site_type_symbol
_atom_site_fract_x
_atom_site_fract_y
_atom_site_fract_z
Ti1 Ti 0.000 0.000 0.000
Zn1 Zn 0.000 0.000 0.500
H1 H 0.500 0.500 0.500
```

Offset from the most stable computed form (eV/atom): 1.107
Crystal system: cubic
Calculated total energy (eV per atom): -1.744
Mass density (Mg/m³): 2.859

***

# 4
A plane-wave DFT calculation with GGA-PBE was carried out for a relaxed structure of CdInSb2.

Geometry as CIF:
```
data_CdInSb2
_chemical_formula_sum 'Cd2 In2 Sb4'
_cell_length_a 3.968
_cell_length_b 5.040
_cell_length_c 11.235
_cell_angle_alpha 90.00
_cell_angle_beta 90.00
_cell_angle_gamma 90.00
_space_group_name_H-M_alt 'I m m 2'
_space_group_IT_number 44
loop_
_space_group_symop_operation_xyz
'x,y,z'
'-x,-y,z'
'-x,y,z'
'x,-y,z'
'x+1/2,y+1/2,z+1/2'
'-x+1/2,-y+1/2,z+1/2'
'-x+1/2,y+1/2,z+1/2'
'x+1/2,-y+1/2,z+1/2'
loop_
_atom_site_label
_atom_site_type_symbol
_atom_site_fract_x
_atom_site_fract_y
_atom_site_fract_z
Cd1 Cd 0.000 0.000 0.000
In1 In 0.000 0.500 0.793
Sb1 Sb 0.000 0.000 0.555
Sb2 Sb 0.000 0.500 0.254
```

ΔE_f (raw) (eV/atom): 0.095
Crystal system: orthorhombic
Calculated total energy (eV per atom): -2.879
Mass density (Mg/m³): 6.958

***

# 5
A plane-wave DFT calculation with GGA-PBE was carried out for a relaxed structure of YMnSn2.

Geometry as CIF:
```
data_YMnSn2
_chemical_formula_sum 'Y4 Mn4 Sn8'
_cell_length_a 6.876
_cell_length_b 6.876
_cell_length_c 6.876
_cell_angle_alpha 90.00
_cell_angle_beta 90.00
_cell_angle_gamma 90.00
_space_group_name_H-M_alt 'F m -3 m'
_space_group_IT_number 225
_space_group_name_Hall '-F 4 2 3'
loop_
_atom_site_label
_atom_site_type_symbol
_atom_site_fract_x
_atom_site_fract_y
_atom_site_fract_z
Y1 Y 0.000 0.000 0.000
Mn1 Mn 0.000 0.000 0.500
Sn1 Sn 0.250 0.250 0.250
```

Crystal system: cubic
Calculated total energy (eV per atom): -5.802
Mass density (Mg/m³): 7.790

***

What is the mass density in the third record? 2.859 Mg/m³

***

Which formula does entry 5 have? YMnSn2

***

What did the fourth record say?
A plane-wave DFT calculation with GGA-PBE was carried out for a relaxed structure of CdInSb2.

Geometry as CIF:
```
data_CdInSb2
_chemical_formula_sum 'Cd2 In2 Sb4'
_cell_length_a 3.968
_cell_length_b 5.040
_cell_length_c 11.235
_cell_angle_alpha 90.00
_cell_angle_beta 90.00
_cell_angle_gamma 90.00
_space_group_name_H-M_alt 'I m m 2'
_space_group_IT_number 44
loop_
_space_group_symop_operation_xyz
'x,y,z'
'-x,-y,z'
'-x,y,z'
'x,-y,z'
'x+1/2,y+1/2,z+1/2'
'-x+1/2,-y+1/2,z+1/2'
'-x+1/2,y+1/2,z+1/2'
'x+1/2,-y+1/2,z+1/2'
loop_
_atom_site_label
_atom_site_type_symbol
_atom_site_fract_x
_atom_site_fract_y
_atom_site_fract_z
Cd1 Cd 0.000 0.000 0.000
In1 In 0.000 0.500 0.793
Sb1 Sb 0.000 0.000 0.555
Sb2 Sb 0.000 0.500 0.254
```

ΔE_f (raw) (eV/atom): 0.095
Crystal system: orthorhombic
Calculated total energy (eV per atom): -2.879
Mass density (Mg/m³): 6.958